# 1
Below is a relaxed Tb2Ge2Ru crystal, with properties calculated at the PBE-GGA level.

The structure belongs to space group P-1 (No. 2); the cell edges are 4.301, 5.835 and 9.283 Å and the angles 82.11°, 76.63° and 68.39°. The distinct sites, in fractional coordinates, are Tb at (0.002, 0.170, 0.327), Tb at (0.184, 0.244, 0.888), Ge at (0.354, 0.227, 0.565), Ge at (0.489, 0.647, 0.875) and Ru at (0.271, 0.584, 0.372).

As for the total magnetization: 0.0 μB per cell. Its crystal system is triclinic. The calculation puts the energy of formation at -77.0 kJ/mol of atoms. The value obtained for the electronic total energy is -6.35 eV/atom.


# 2
Below is a relaxed Tb3Ge2Ru crystal, with properties calculated at the PBE-GGA level.

The structure belongs to space group Pnma (No. 62); the cell edges are 11.816, 4.201 and 11.274 Å and the angles 90.00°, 90.00° and 90.00°. The distinct sites, in fractional coordinates, are Tb at (0.055, 0.250, 0.127), Tb at (0.121, 0.750, 0.554), Tb at (0.225, 0.250, 0.796), Ge at (0.010, 0.750, 0.311), Ge at (0.190, 0.750, 0.998) and Ru at (0.130, 0.250, 0.368).

As for the total magnetization: 0.0 μB per cell. Its crystal system is orthorhombic. The calculation puts the energy of formation at -70.3 kJ/mol of atoms. The value obtained for the electronic total energy is -6.13 eV/atom.